(1)
5
Lattice="-1.512 -5.353 0.256 2.107 -0.800 -4.281 4.779 -1.226 2.581" Properties=species:S:1:pos:R:3 comment="Na2InIrBr (PBE-GGA, relaxed)" density_g_cm3=4.79 sg="P4/mmm (123)" pbc="T T T"
In 2.687 -3.690 -0.722
Br 1.054 -0.400 -2.141
Ir 0.000 0.000 0.000
Na 2.390 -0.613 1.291
Na -0.756 -2.677 0.128

***

(2)
5
Lattice="-0.848 -5.140 0.650 2.542 0.161 4.591 -4.505 1.054 2.458" Properties=species:S:1:pos:R:3 comment="In2IrPbBr (PBE-GGA, relaxed)" density_g_cm3=8.15 sg="P4/mmm (123)" pbc="T T T"
Br -1.406 -1.963 3.849
Pb -2.253 0.527 1.229
In -0.424 -2.570 0.325
In 1.271 0.080 2.295
Ir 0.000 0.000 0.000

***

(3)
12
Lattice="-0.203 -1.960 3.717 -7.270 -4.943 -3.005 8.460 -4.222 -4.144" Properties=species:S:1:pos:R:3 comment="Pr6InIr2Br3 (PBE-GGA, relaxed)" density_g_cm3=6.98 sg="C2/m (12)" pbc="T T T"
Pr -1.510 -1.557 -0.904
Pr 2.498 -9.569 -2.529
Pr -0.701 -7.788 -4.146
Pr 2.139 -5.455 -2.760
Pr -1.152 -5.671 -0.673
Pr 1.688 -3.337 0.713
In -0.102 -0.980 1.858
Ir 0.336 -3.468 -1.810
Ir 0.651 -7.658 -1.622
Br 4.342 -5.227 -0.138
Br -3.355 -5.898 -3.294
Br -3.737 -3.452 0.356

***

(4)
10
Lattice="-6.308 4.659 -0.523 -4.450 -5.676 3.122 -4.338 1.471 6.381" Properties=species:S:1:pos:R:3 comment="Rb2InIrBr6 (PBE-GGA, relaxed)" density_g_cm3=4.64 sg="I4/mmm (139)" pbc="T T T"
Br -5.885 2.308 0.306
Br -4.873 -3.325 2.293
Br -2.447 -0.231 0.591
Br -4.812 0.569 4.067
Br -8.311 -0.786 2.008
Br -10.284 -0.115 4.914
Rb -7.084 -2.357 5.401
Rb -8.013 2.810 3.579
In -5.379 -0.508 1.300
Ir 0.000 0.000 0.000

***

(5)
5
Lattice="4.787 0.000 0.000 0.000 6.118 0.000 0.000 0.000 4.787" Properties=species:S:1:pos:R:3 comment="InIrSBr2 (PBE-GGA, relaxed)" density_g_cm3=5.91 sg="P4/mmm (123)" pbc="T T T"
Br 0.000 0.000 2.393
Br 2.393 0.000 0.000
Ir 2.393 3.059 2.393
In 0.000 3.059 0.000
S 0.000 0.000 0.000

***

(6)
5
Lattice="5.275 0.000 0.000 0.000 5.275 0.000 0.000 0.000 5.496" Properties=species:S:1:pos:R:3 comment="InIrSeBr2 (PBE-GGA, relaxed)" density_g_cm3=5.93 sg="P4/mmm (123)" polymorph_energy_mev_per_atom=993 pbc="T T T"
Br 2.638 0.000 0.000
Br 0.000 2.638 0.000
Se 0.000 0.000 2.748
Ir 2.638 2.638 2.748
In 0.000 0.000 0.000

***

no.,formation energy without anion corrections (eV/f.u.),volume (Å³ per cell)
1,1.85,150
2,-1.72,144
3,-11.67,377
4,-9.27,343
5,5.49,140
6,4.96,153